# 1
Below is a relaxed LiTm4Hg3 crystal, with properties calculated at the PBE-GGA level.

Summary:
ΔE_f	-0.362	eV per atom

```
data_LiTm4Hg3
_symmetry_space_group_name_H-M 'C 1 2/m 1'
_symmetry_Int_Tables_number 12
_symmetry_space_group_name_Hall '-C 2y'
_cell_length_a 15.495
_cell_length_b 5.177
_cell_length_c 5.177
_cell_angle_alpha 90.00
_cell_angle_beta 109.43
_cell_angle_gamma 90.00
loop_
_atom_site_label
_atom_site_fract_x
_atom_site_fract_y
_atom_site_fract_z
Li1 0.000 0.000 0.000
Tm1 0.125 0.000 0.625
Tm2 0.125 0.500 0.125
Hg1 0.000 0.500 0.500
Hg2 0.244 0.000 0.245
```



# 2
Below is a relaxed LiTm5Hg8 crystal, with properties calculated at the PBE-GGA level.

Summary:
ΔE_f	-0.374	eV per atom

```
data_LiTm5Hg8
_symmetry_space_group_name_H-M 'I -4'
_symmetry_Int_Tables_number 82
_symmetry_space_group_name_Hall 'I -4'
_cell_length_a 8.811
_cell_length_b 8.811
_cell_length_c 8.835
_cell_angle_alpha 90.00
_cell_angle_beta 90.00
_cell_angle_gamma 90.00
loop_
_atom_site_label
_atom_site_fract_x
_atom_site_fract_y
_atom_site_fract_z
Li1 0.000 0.000 0.000
Tm1 0.000 0.500 0.250
Tm2 0.119 0.766 0.602
Hg1 0.073 0.682 0.939
Hg2 0.087 0.838 0.262
```



# 3
Below is a relaxed LiTmHg2 crystal, with properties calculated at the PBE-GGA level.

Summary:
ΔE_f	-0.430	eV per atom
energy relative to the lowest polymorph listed for this composition	0	meV/atom

```
data_LiTmHg2
_symmetry_space_group_name_H-M 'F m -3 m'
_symmetry_Int_Tables_number 225
_symmetry_space_group_name_Hall '-F 4 2 3'
_cell_length_a 7.030
_cell_length_b 7.030
_cell_length_c 7.030
_cell_angle_alpha 90.00
_cell_angle_beta 90.00
_cell_angle_gamma 90.00
loop_
_atom_site_label
_atom_site_fract_x
_atom_site_fract_y
_atom_site_fract_z
Li1 0.000 0.000 0.000
Tm1 0.000 0.000 0.500
Hg1 0.250 0.250 0.250
```



# 4
Below is a relaxed Li2TmHg9 crystal, with properties calculated at the PBE-GGA level.

Summary:
ΔE_f	-0.213	eV per atom

```
data_Li2TmHg9
_symmetry_space_group_name_H-M 'P 4/m m m'
_symmetry_Int_Tables_number 123
_symmetry_space_group_name_Hall '-P 4 2'
_cell_length_a 4.509
_cell_length_b 4.509
_cell_length_c 13.508
_cell_angle_alpha 90.00
_cell_angle_beta 90.00
_cell_angle_gamma 90.00
loop_
_atom_site_label
_atom_site_fract_x
_atom_site_fract_y
_atom_site_fract_z
Li1 0.000 0.000 0.162
Tm1 0.000 0.000 0.500
Hg1 0.000 0.500 0.000
Hg2 0.000 0.500 0.327
Hg3 0.500 0.500 0.164
Hg4 0.500 0.500 0.500
```